[1]
Density functional theory data (GGA-PBE) for crystalline ScCu2 at its relaxed geometry.

a = 6.114 Å, b = 6.114 Å, c = 6.114 Å
α = 90.00°, β = 90.00°, γ = 90.00°
Fractional positions:
Sc: 0.000 0.000 0.000
Sc: 0.500 0.500 0.000
Sc: 0.500 0.000 0.500
Sc: 0.000 0.500 0.500
Cu: 0.390 0.390 0.390
Cu: 0.610 0.610 0.610
Cu: 0.890 0.110 0.610
Cu: 0.110 0.890 0.390
Cu: 0.610 0.890 0.110
Cu: 0.390 0.110 0.890
Cu: 0.110 0.610 0.890
Cu: 0.890 0.390 0.110

## Properties
Magnetization = 0.0 μB/cell
E_form = 0.496 eV per atom

=====

[2]
Density functional theory data (GGA-PBE) for crystalline CuRe2N at its relaxed geometry.

a = 4.704 Å, b = 4.704 Å, c = 6.511 Å
α = 68.82°, β = 68.82°, γ = 90.00°
Fractional positions:
Re: 0.520 0.125 0.250
Re: 0.230 0.625 0.250
Re: 0.375 0.480 0.750
Re: 0.875 0.770 0.750
Cu: 0.000 0.000 0.000
Cu: 0.750 0.250 0.500
N: 0.500 0.500 0.000
N: 0.250 0.750 0.500

## Properties
Magnetization = 0.0 μB/cell
Energy relative to the elements, uncorrected = 1038 meV/atom

=====

What is the formula in the first record? ScCu2